First-principles (GGA-PBE) data for Th8Te4P3Pt after structural relaxation, as listed in Alexandria via LeMat-Bulk.

Geometry as POSCAR:
```
Th8Te4P3Pt
1.0
4.245 2.451 7.353
-4.245 2.451 7.353
0.000 -4.902 7.353
Th Te P Pt
8 4 3 1
direct
0.234 0.738 0.738 Th
0.236 0.236 0.236 Th
0.262 0.262 0.766 Th
0.262 0.766 0.262 Th
0.738 0.234 0.738 Th
0.738 0.738 0.234 Th
0.764 0.764 0.764 Th
0.766 0.262 0.262 Th
0.000 0.000 0.000 Te
0.000 0.500 0.500 Te
0.500 0.000 0.500 Te
0.500 0.500 0.000 Te
0.000 0.000 0.500 P
0.000 0.500 0.000 P
0.500 0.000 0.000 P
0.500 0.500 0.500 Pt
```

## Properties
- ΔE_f (raw): -2018 kJ/mol of formula units
- Total magnetization: 0.00 μB/atom